A plane-wave DFT calculation with PBE was carried out for a geometry-optimized Al2TlNi structure.

Lattice parameters (Å, degrees): 3.1529 3.1529 25.1880 90.00 90.00 120.00
Closest atoms and distances in Å follow each position.
Space group R-3m (No. 166, hexagonal axes)
Asymmetric unit:
Al1 0.0000 0.0000 0.2317 (multiplicity 6)  3 Ni 2.45
Tl1 0.0000 0.0000 0.0000 (multiplicity 3)  6 Al 3.14, 6 Tl 3.15
Ni1 0.0000 0.0000 0.5000 (multiplicity 3)  6 Al 2.45

***

A plane-wave DFT calculation with PBE was carried out for a geometry-optimized AlTlNi2 structure.

Lattice parameters (Å, degrees): 3.0093 3.0093 6.4712 90.00 90.00 90.00
Closest atoms and distances in Å follow each position.
Space group P4/mmm (No. 123)
Asymmetric unit:
Al1 0.0000 0.0000 0.0000 (multiplicity 1)  8 Ni 2.50
Tl1 0.0000 0.0000 0.5000 (multiplicity 1)  8 Ni 2.87, 4 Tl 3.01
Ni1 0.5000 0.5000 0.2033 (multiplicity 2)  4 Al 2.50, 1 Ni 2.63

***

A plane-wave DFT calculation with PBE was carried out for a geometry-optimized Al2TlNi structure.

Lattice parameters (Å, degrees): 2.8251 4.6107 11.0746 90.00 90.00 90.00
Closest atoms and distances in Å follow each position.
Space group Immm (No. 71)
Asymmetric unit:
Al1 0.0000 0.0000 0.1965 (multiplicity 4)  2 Ni 2.59, 2 Al 2.83
Tl1 0.0000 0.5000 0.0000 (multiplicity 2)  4 Ni 2.70, 2 Tl 2.83
Ni1 0.0000 0.5000 0.5000 (multiplicity 2)  4 Al 2.59, 4 Tl 2.70, 2 Ni 2.83

***

A plane-wave DFT calculation with PBE was carried out for a geometry-optimized AlTlNi structure.

Lattice parameters (Å, degrees): 6.2016 6.2016 6.2016 90.00 90.00 90.00
Closest atoms and distances in Å follow each position.
Space group F-43m (No. 216)
Asymmetric unit:
Al1 0.0000 0.0000 0.0000 (multiplicity 4)  4 Tl 2.69
Tl1 0.2500 0.2500 0.7500 (multiplicity 4)  4 Ni 2.69, 4 Al 2.69
Ni1 0.0000 0.0000 0.5000 (multiplicity 4)  4 Tl 2.69

***

| no. | offset from the most stable computed form (eV per atom) |
| --- | --- |
| 1 | 0.1015 |
| 2 | 0.0000 |
| 3 | 0.1999 |
| 4 | 0.4593 |